Entry 1:
Below is crystalline LiSc2Hg3 at its relaxed geometry, with properties calculated at the PBE level.

Computed properties:
* relative energy among the computed polymorphs: 0.000 eV/atom
* DOS(E_F): 0.59 states/eV per atom
* energy relative to the elements: -0.41 eV per atom
* total DFT energy (no corrections): -35.89 eV/cell

Cell: 4.8975 4.8975 11.9834 Å, 90.00 90.00 120.00°
Space group P-3m1 (No. 164)
Inequivalent atoms, fractional coordinates:
Li 0.3333 0.6667 0.1657 (multiplicity 2)
Sc 0.0000 0.0000 0.0000 (multiplicity 1)
Sc 0.0000 0.0000 0.5000 (multiplicity 1)
Sc 0.3333 0.6667 0.6723 (multiplicity 2)
Hg 0.0000 0.0000 0.2467 (multiplicity 2)
Hg 0.3333 0.6667 0.4128 (multiplicity 2)
Hg 0.3333 0.6667 0.9201 (multiplicity 2)

***

Entry 2:
Below is crystalline LiScHg at its relaxed geometry, with properties calculated at the PBE level.

Computed properties:
* relative energy among the computed polymorphs: 0.000 eV/atom
* DOS(E_F): 0.49 states/eV per atom
* energy relative to the elements: -0.24 eV per atom
* total DFT energy (no corrections): -18.50 eV/cell

Cell: 3.615 3.615 9.141 Å, 90.00 90.00 90.00°
Space group I4mm (No. 107)
Inequivalent atoms, fractional coordinates:
Li 0.000 0.000 0.000 (multiplicity 2)
Sc 0.000 0.000 0.321 (multiplicity 2)
Hg 0.000 0.000 0.649 (multiplicity 2)

***

Entry 3:
Below is crystalline LiSc2Hg at its relaxed geometry, with properties calculated at the PBE level.

Computed properties:
* DOS(E_F): 1.12 states/eV per atom
* energy relative to the elements: -0.01 eV per atom
* total DFT energy (no corrections): -44.75 eV/cell

Cell: 3.3316 3.3316 29.3023 Å, 90.00 90.00 120.00°
Space group R-3m (No. 166, hexagonal axes)
Inequivalent atoms, fractional coordinates:
Li 0.0000 0.0000 0.0000 (multiplicity 3)
Sc 0.0000 0.0000 0.2462 (multiplicity 6)
Hg 0.0000 0.0000 0.5000 (multiplicity 3)

***

Entry 4:
Below is crystalline LiSc2Hg at its relaxed geometry, with properties calculated at the PBE level.

Computed properties:
* DOS(E_F): 1.01 states/eV per atom
* energy relative to the elements: -0.13 eV per atom
* total DFT energy (no corrections): -30.82 eV/cell

Cell: 3.433 4.921 10.093 Å, 90.00 90.00 90.00°
Space group Imm2 (No. 44)
Inequivalent atoms, fractional coordinates:
Li 0.000 0.000 0.000 (multiplicity 2)
Sc 0.000 0.000 0.541 (multiplicity 2)
Sc 0.000 0.500 0.770 (multiplicity 2)
Hg 0.000 0.500 0.295 (multiplicity 2)

***

Entry 5:
Below is crystalline LiScHg2 at its relaxed geometry, with properties calculated at the PBE level.

Computed properties:
* relative energy among the computed polymorphs: 0.161 eV/atom
* DOS(E_F): 0.76 states/eV per atom
* energy relative to the elements: -0.24 eV per atom
* total DFT energy (no corrections): -29.39 eV/cell

Cell: 3.4908 3.4908 24.8947 Å, 90.00 90.00 120.00°
Space group R3m (No. 160, hexagonal axes)
Inequivalent atoms, fractional coordinates:
Li 0.0000 0.0000 0.0000 (multiplicity 3)
Sc 0.0000 0.0000 0.1676 (multiplicity 3)
Hg 0.0000 0.0000 0.5895 (multiplicity 3)
Hg 0.0000 0.0000 0.7454 (multiplicity 3)

***

Entry 6:
Below is crystalline LiScHg2 at its relaxed geometry, with properties calculated at the PBE level.

Computed properties:
* relative energy among the computed polymorphs: 0.156 eV/atom
* DOS(E_F): 0.55 states/eV per atom
* energy relative to the elements: -0.24 eV per atom
* total DFT energy (no corrections): -9.82 eV/cell

Cell: 3.717 3.717 6.188 Å, 90.00 90.00 90.00°
Space group P4mm (No. 99)
Inequivalent atoms, fractional coordinates:
Li 0.000 0.000 0.000 (multiplicity 1)
Sc 0.500 0.500 0.319 (multiplicity 1)
Hg 0.000 0.000 0.522 (multiplicity 1)
Hg 0.500 0.500 0.840 (multiplicity 1)

***

Entry 7:
Below is crystalline Li2ScHg2 at its relaxed geometry, with properties calculated at the PBE level.

Computed properties:
* relative energy among the computed polymorphs: 0.006 eV/atom
* DOS(E_F): 0.73 states/eV per atom
* energy relative to the elements: -0.28 eV per atom
* total DFT energy (no corrections): -48.65 eV/cell

Cell: 9.647 6.096 7.698 Å, 90.00 116.22 90.00°
Space group C2/c (No. 15)
Inequivalent atoms, fractional coordinates:
Li 0.119 0.106 0.448 (multiplicity 8)
Sc 0.000 0.412 0.750 (multiplicity 4)
Hg 0.188 0.285 0.155 (multiplicity 8)

***

Entry 8:
Below is crystalline Li2Sc2Hg at its relaxed geometry, with properties calculated at the PBE level.

Computed properties:
* relative energy among the computed polymorphs: 0.103 eV/atom
* DOS(E_F): 1.27 states/eV per atom
* energy relative to the elements: 0.08 eV per atom
* total DFT energy (no corrections): -32.74 eV/cell

Cell: 3.411 3.411 18.438 Å, 90.00 90.00 90.00°
Space group I4/mmm (No. 139)
Inequivalent atoms, fractional coordinates:
Li 0.000 0.500 0.250 (multiplicity 4)
Sc 0.000 0.000 0.101 (multiplicity 4)
Hg 0.000 0.000 0.500 (multiplicity 2)

***

Entry 9:
Below is crystalline LiScHg3 at its relaxed geometry, with properties calculated at the PBE level.

Computed properties:
* relative energy among the computed polymorphs: 0.490 eV/atom
* DOS(E_F): 0.84 states/eV per atom
* energy relative to the elements: 0.21 eV per atom
* total DFT energy (no corrections): -8.08 eV/cell

Cell: 5.540 5.540 5.540 Å, 90.00 90.00 90.00°
Space group Pm-3m (No. 221)
Inequivalent atoms, fractional coordinates:
Li 0.000 0.000 0.000 (multiplicity 1)
Sc 0.500 0.500 0.500 (multiplicity 1)
Hg 0.000 0.500 0.500 (multiplicity 3)

***

Entry 10:
Below is crystalline LiSc2Hg3 at its relaxed geometry, with properties calculated at the PBE level.

Computed properties:
* relative energy among the computed polymorphs: 0.021 eV/atom
* DOS(E_F): 0.77 states/eV per atom
* energy relative to the elements: -0.39 eV per atom
* total DFT energy (no corrections): -17.82 eV/cell

Cell: 3.425 3.425 10.599 Å, 90.00 90.00 90.00°
Space group P4/mmm (No. 123)
Inequivalent atoms, fractional coordinates:
Li 0.000 0.000 0.000 (multiplicity 1)
Sc 0.000 0.000 0.326 (multiplicity 2)
Hg 0.500 0.500 0.154 (multiplicity 2)
Hg 0.500 0.500 0.500 (multiplicity 1)

***

Entry 11:
Below is crystalline LiScHg at its relaxed geometry, with properties calculated at the PBE level.

Computed properties:
* relative energy among the computed polymorphs: 0.098 eV/atom
* DOS(E_F): 0.79 states/eV per atom
* energy relative to the elements: -0.14 eV per atom
* total DFT energy (no corrections): -35.83 eV/cell

Cell: 3.313 3.313 23.118 Å, 90.00 90.00 90.00°
Space group I4/mmm (No. 139)
Inequivalent atoms, fractional coordinates:
Li 0.000 0.000 0.217 (multiplicity 4)
Sc 0.000 0.000 0.070 (multiplicity 4)
Hg 0.000 0.000 0.351 (multiplicity 4)

***

Entry 12:
Below is crystalline LiSc2Hg at its relaxed geometry, with properties calculated at the PBE level.

Computed properties:
* DOS(E_F): 1.31 states/eV per atom
* energy relative to the elements: -0.09 eV per atom
* total DFT energy (no corrections): -30.51 eV/cell

Cell: 4.277 4.277 9.133 Å, 90.00 90.00 90.00°
Space group I-4m2 (No. 119)
Inequivalent atoms, fractional coordinates:
Li 0.000 0.000 0.000 (multiplicity 2)
Sc 0.000 0.000 0.500 (multiplicity 2)
Sc 0.000 0.500 0.750 (multiplicity 2)
Hg 0.000 0.500 0.250 (multiplicity 2)

***

The highest total DFT energy (no corrections) belongs to which entry?
LiScHg3